BaNaNiSb: relaxed, PBE.

The structure in POSCAR format:
```
BaNaNiSb
1.0
4.557 -1.237 -2.716
3.573 -3.516 2.132
0.600 -4.946 -2.203
Na Sb Ni Ba
1 1 1 1
direct
0.750 0.750 0.750
0.000 0.000 0.000
0.500 0.500 0.500
0.250 0.250 0.250
```

Properties
spin magnetization = 0.86 Bohr magnetons per cell
symmetry = F-43m (216)
electronic total energy = -0.237 Ry per atom